Model i:
The following is a DFT calculation (PBE-GGA) of a relaxed Hg3AuS crystal.

Cell and atoms, written as POSCAR:
```
Hg3AuS
1.0
5.325 0.000 0.000
0.000 5.325 0.000
0.000 0.000 5.325
Hg Au S
3 1 1
Cartesian
0.000 0.000 2.662 Hg
0.000 2.662 0.000 Hg
2.662 0.000 0.000 Hg
0.000 0.000 0.000 Au
2.662 2.662 2.662 S
```

Calculated values
Volume   151.0 Å³/cell
Calculated density   9.14 g/cm3



Model ii:
The following is a DFT calculation (PBE-GGA) of a relaxed Hg3AuS crystal.

Cell and atoms, written as POSCAR:
```
Hg3AuS
1.0
5.273 0.000 0.000
0.000 5.273 0.000
0.000 0.000 5.273
Hg Au S
3 1 1
Cartesian
0.000 0.000 2.636 Hg
0.000 2.636 0.000 Hg
2.636 0.000 0.000 Hg
2.636 2.636 2.636 Au
0.000 0.000 0.000 S
```

Calculated values
Volume   146.6 Å³/cell
Calculated density   9.41 g/cm3



If we sort the structures by their calculated energies, the order from most to least stable is model i, model ii.